{"formula": "Dy4S3N2", "functional": "GGA-PBE", "state": "relaxed", "cell": [[6.4599, 0.0000, 0.0000], [0.0000, 14.6970, 0.0000], [0.0000, 0.0000, 3.8206]], "species": ["Dy", "Dy", "Dy", "Dy", "Dy", "Dy", "Dy", "Dy", "N", "N", "N", "N", "S", "S", "S", "S", "S", "S"], "frac_coords": [[0.7841, 0.0634, 0.0000], [0.7172, 0.3444, 0.0000], [0.2828, 0.6556, 0.0000], [0.2159, 0.9366, 0.0000], [0.2172, 0.1556, 0.5000], [0.2841, 0.4366, 0.5000], [0.7159, 0.5634, 0.5000], [0.7828, 0.8444, 0.5000], [0.1250, 0.0841, 0.0000], [0.8750, 0.9159, 0.0000], [0.6250, 0.4159, 0.5000], [0.3750, 0.5841, 0.5000], [0.2906, 0.2986, 0.0000], [0.0000, 0.5000, 0.0000], [0.7094, 0.7014, 0.0000], [0.5000, 0.0000, 0.5000], [0.7906, 0.2014, 0.5000], [0.2094, 0.7986, 0.5000]], "crystal_system": "orthorhombic", "total_magnetization_mub_per_fu": 0.01, "dft_energy_ev_per_atom": -7.186}